# Tl2AgOs GGA-PBE relaxed
# Volume ... 79.7 Å³/f.u.
# Raw total energy ... -3.90 eV/atom
# ΔH_f (0 K) ... 0.805 eV/atom
data_Tl2AgOs
_chemical_formula_sum 'Tl4 Ag2 Os2'
_symmetry_space_group_name_H-M 'I -4 m 2'
_symmetry_Int_Tables_number 119
_symmetry_space_group_name_Hall 'I -4 -2'
_cell_length_a 4.0583
_cell_length_b 4.0583
_cell_length_c 9.6726
_cell_angle_alpha 90.00
_cell_angle_beta 90.00
_cell_angle_gamma 90.00
loop_
_atom_site_label
_atom_site_fract_x
_atom_site_fract_y
_atom_site_fract_z
Tl1 0.0000 0.0000 0.0000
Tl2 0.0000 0.5000 0.2500
Ag1 0.0000 0.5000 0.7500
Os1 0.0000 0.0000 0.5000

# Ta2CoHRu GGA-PBE relaxed
# Volume ... 62.3 Å³/f.u.
# Raw total energy ... -8.87 eV/atom
data_Ta2CoHRu
_chemical_formula_sum 'Ta2 Co1 H1 Ru1'
_symmetry_space_group_name_H-M 'P 4/m m m'
_symmetry_Int_Tables_number 123
_symmetry_space_group_name_Hall '-P 4 2'
_cell_length_a 4.1608
_cell_length_b 4.1608
_cell_length_c 3.6004
_cell_angle_alpha 90.00
_cell_angle_beta 90.00
_cell_angle_gamma 90.00
loop_
_atom_site_label
_atom_site_fract_x
_atom_site_fract_y
_atom_site_fract_z
Ta1 0.0000 0.5000 0.0000
Co1 0.0000 0.0000 0.5000
H1 0.0000 0.0000 0.0000
Ru1 0.5000 0.5000 0.5000

# YMgOs2 GGA-PBE relaxed
# Volume ... 70.3 Å³/f.u.
# Raw total energy ... -7.26 eV/atom
# ΔH_f (0 K) ... 0.367 eV/atom
data_YMgOs2
_chemical_formula_sum 'Y2 Mg2 Os4'
_symmetry_space_group_name_H-M 'I m m m'
_symmetry_Int_Tables_number 71
_symmetry_space_group_name_Hall '-I 2 2'
_cell_length_a 3.2269
_cell_length_b 4.8475
_cell_length_c 8.9895
_cell_angle_alpha 90.00
_cell_angle_beta 90.00
_cell_angle_gamma 90.00
loop_
_atom_site_label
_atom_site_fract_x
_atom_site_fract_y
_atom_site_fract_z
Y1 0.0000 0.0000 0.0000
Mg1 0.0000 0.0000 0.5000
Os1 0.0000 0.5000 0.2457

# AcNd4HoEr2 GGA-PBE relaxed
# Volume ... 278.0 Å³/f.u.
# Raw total energy ... -4.49 eV/atom
# ΔH_f (0 K) ... 0.119 eV/atom
data_AcNd4HoEr2
_chemical_formula_sum 'Ac1 Nd4 Ho1 Er2'
_symmetry_space_group_name_H-M 'P m m m'
_symmetry_Int_Tables_number 47
_symmetry_space_group_name_Hall '-P 2 2'
_cell_length_a 5.9723
_cell_length_b 5.9860
_cell_length_c 7.7765
_cell_angle_alpha 90.00
_cell_angle_beta 90.00
_cell_angle_gamma 90.00
loop_
_atom_site_label
_atom_site_fract_x
_atom_site_fract_y
_atom_site_fract_z
Ac1 0.0000 0.0000 0.0000
Nd1 0.0000 0.5000 0.2698
Nd2 0.5000 0.0000 0.2707
Ho1 0.5000 0.5000 0.5000
Er1 0.0000 0.0000 0.5000
Er2 0.5000 0.5000 0.0000

# Cu3PdBr9 GGA-PBE relaxed
# Volume ... 410.7 Å³/f.u.
# Energy relative to the elements, uncorrected ... -0.22 eV per atom
# Raw total energy ... -2.72 eV/atom
data_Cu3PdBr9
_chemical_formula_sum 'Cu12 Pd4 Br36'
_symmetry_space_group_name_H-M 'C 1 c 1'
_symmetry_Int_Tables_number 9
_symmetry_space_group_name_Hall 'C -2yc'
_cell_length_a 18.9592
_cell_length_b 8.1674
_cell_length_c 13.2878
_cell_angle_alpha 90.00
_cell_angle_beta 127.02
_cell_angle_gamma 90.00
loop_
_atom_site_label
_atom_site_fract_x
_atom_site_fract_y
_atom_site_fract_z
Cu1 0.0000 0.0345 0.0000
Cu2 0.1272 0.4047 0.9393
Cu3 0.3884 0.1095 0.5948
Pd1 0.2549 0.2324 0.7595
Br1 0.0414 0.4065 0.2663
Br2 0.0514 0.1501 0.8907
Br3 0.1340 0.0289 0.7062
Br4 0.1386 0.4423 0.6009
Br5 0.2499 0.3536 0.9332
Br6 0.2619 0.0984 0.5914
Br7 0.3744 0.0357 0.9252
Br8 0.3737 0.4329 0.8022
Br9 0.4231 0.3910 0.5826

# ZnCu2Si GGA-PBE relaxed
# Volume ... 52.8 Å³/f.u.
# Energy relative to the elements, uncorrected ... 0.06 eV per atom
# Raw total energy ... -3.66 eV/atom
data_ZnCu2Si
_chemical_formula_sum 'Zn1 Cu2 Si1'
_symmetry_space_group_name_H-M 'P 4 m m'
_symmetry_Int_Tables_number 99
_symmetry_space_group_name_Hall 'P 4 -2'
_cell_length_a 3.2294
_cell_length_b 3.2294
_cell_length_c 5.0662
_cell_angle_alpha 90.00
_cell_angle_beta 90.00
_cell_angle_gamma 90.00
loop_
_atom_site_label
_atom_site_fract_x
_atom_site_fract_y
_atom_site_fract_z
Zn1 0.0000 0.0000 0.0000
Cu1 0.0000 0.0000 0.4980
Cu2 0.5000 0.5000 0.2350
Si1 0.5000 0.5000 0.7196